1.
A geometry-optimized NaLiAl structure, computed with PBE-GGA.

Results
Its space group is No. 107. For the energy above the lowest structure with this stoichiometry, the calculation gives 0.0764 eV per atom. The calculation puts the formation energy at 67 meV per atom.

POSCAR file:
```
NaLiAl
1.0
-1.952 2.039 1.163
-1.159 -2.153 1.828
6.135 1.689 3.329
Na Li Al
1 1 1
Cartesian
2.969 1.556 6.262
0.165 0.556 3.308
2.914 1.039 3.070
```

2.
A geometry-optimized TiCuNiHg structure, computed with PBE-GGA.

Results
Its space group is No. 216. The calculation puts the formation energy at -59 meV per atom.

POSCAR file:
```
TiCuNiHg
1.0
4.368 0.000 0.000
2.184 3.783 0.000
2.184 1.261 3.567
Hg Cu Ti Ni
1 1 1 1
Cartesian
6.553 3.783 2.675
4.368 2.522 1.783
2.184 1.261 0.892
0.000 0.000 0.000
```

- Which formula does entry 1 have?
  NaLiAl